! SrInSi PBE relaxed; values from VASP
&SYSTEM
  ibrav = 0, nat = 3, ntyp = 3
/
ATOMIC_SPECIES
In 114.82 In.upf
Si 28.09 Si.upf
Sr 87.62 Sr.upf
ATOMIC_POSITIONS angstrom
In -5.0365 -3.5228 0.1927
Si -7.5547 -5.2841 0.2891
Sr 0.0000 0.0000 0.0000
CELL_PARAMETERS angstrom
-2.4264 -3.8071 -2.1971
-2.6299 -3.2435 2.7878
-5.0166 0.0051 -0.2053
! ΔE_f (raw): -0.125 eV per atom
! total magnetization: 0.000 μB/f.u.
! N(E_F): 2.64 states/eV/f.u.